Entry 1:
Entry from the Alexandria database: a relaxed structure of SrLiScSn (GGA-PBE).

abc: 5.3081 5.3081 5.3081
angles: 60.00 60.00 60.00
Fractional positions:
Sc: 0.5000 0.5000 0.5000
Sr: 0.0000 0.0000 0.0000
Sn: 0.7500 0.7500 0.7500
Li: 0.2500 0.2500 0.2500

Values from the calculation:
N(E_F): 2.71 states/eV per cell
E_form: -0.29 eV per atom

---

Entry 2:
Entry from the Alexandria database: a relaxed structure of La4Ru (GGA-PBE).

abc: 5.6120 5.6120 5.6120
angles: 90.00 90.00 90.00
Fractional positions:
Ru: 0.5000 0.5000 0.5000
La: 0.0000 0.0000 0.0000
La: 0.5000 0.0000 0.5000
La: 0.0000 0.5000 0.5000
La: 0.5000 0.5000 0.0000

Values from the calculation:
N(E_F): 9.97 states/eV per cell
E_form: -0.08 eV per atom
ΔE to the lowest computed polymorph: 138 meV/atom

---

Entry 3:
Entry from the Alexandria database: a relaxed structure of CaTcCl2 (GGA-PBE).

abc: 4.7338 4.7338 3.5322
angles: 90.00 90.00 90.00
Fractional positions:
Ca: 0.0000 0.5000 0.5000
Tc: 0.5000 0.0000 0.5000
Cl: 0.0000 0.0000 0.0000
Cl: 0.5000 0.5000 0.0000

Values from the calculation:
Formation energy from raw total energies: -294 meV/atom
N(E_F): 0.77 states/eV per cell
ΔE to the lowest computed polymorph: 253 meV/atom

---

Entry 4:
Entry from the Alexandria database: a relaxed structure of HPbSN2 (GGA-PBE).

abc: 4.3533 4.3533 3.2167
angles: 90.00 90.00 90.00
Fractional positions:
Pb: 0.5000 0.5000 0.5000
H: 0.0000 0.0000 0.0000
S: 0.0000 0.0000 0.5000
N: 0.0000 0.5000 0.0000
N: 0.5000 0.0000 0.0000

Values from the calculation:
N(E_F): 2.15 states/eV per cell
ΔE to the lowest computed polymorph: 0 meV/atom

---

Entry 5:
Entry from the Alexandria database: a relaxed structure of NdBiSe2 (GGA-PBE).

abc: 4.1584 4.1584 9.4778
angles: 77.33 77.33 60.00
Fractional positions:
Nd: 0.5000 0.5000 0.5000
Bi: 0.0000 0.0000 0.0000
Se: 0.1053 0.1053 0.6842
Se: 0.8947 0.8947 0.3158

Values from the calculation:
Formation energy from raw total energies: -1044 meV/atom
N(E_F): 0.81 states/eV per cell

---

Entry 6:
Entry from the Alexandria database: a relaxed structure of Hf4Mg2Pa (GGA-PBE).

abc: 3.1124 3.1010 17.0320
angles: 90.00 95.24 90.00
Fractional positions:
Hf: 0.9264 0.5000 0.8528
Hf: 0.6378 0.0000 0.2756
Hf: 0.0736 0.5000 0.1472
Hf: 0.3622 0.0000 0.7244
Mg: 0.7908 0.5000 0.5815
Mg: 0.2092 0.5000 0.4185
Pa: 0.5000 0.0000 0.0000

Values from the calculation:
N(E_F): 9.86 states/eV per cell
E_form: 0.08 eV per atom

---

Entry 7:
Entry from the Alexandria database: a relaxed structure of Cs2ZrAl (GGA-PBE).

abc: 10.3343 10.3343 10.3343
angles: 94.00 94.00 149.37
Fractional positions:
Cs: 0.7092 0.3750 0.8342
Cs: 0.5408 0.8750 0.1658
Cs: 0.1250 0.2908 0.6658
Cs: 0.6250 0.4592 0.3342
Zr: 0.0000 0.0000 0.0000
Zr: 0.2500 0.7500 0.5000
Al: 0.5000 0.5000 0.0000
Al: 0.7500 0.2500 0.5000

Values from the calculation:
N(E_F): 11.17 states/eV per cell
E_form: 0.95 eV per atom
ΔE to the lowest computed polymorph: 0 meV/atom

---

Entry 8:
Entry from the Alexandria database: a relaxed structure of ZrPdI2N (GGA-PBE).

abc: 5.8927 5.8927 3.9776
angles: 90.00 90.00 90.00
Fractional positions:
I: 0.0000 0.5000 0.0000
I: 0.5000 0.0000 0.0000
Zr: 0.0000 0.0000 0.0000
Pd: 0.5000 0.5000 0.5000
N: 0.0000 0.0000 0.5000

Values from the calculation:
Formation energy from raw total energies: 118 meV/atom
N(E_F): 5.62 states/eV per cell
ΔE to the lowest computed polymorph: 0 meV/atom

---

Entry 9:
Entry from the Alexandria database: a relaxed structure of ScAsCl2 (GGA-PBE).

abc: 3.7587 4.0610 7.8144
angles: 63.91 90.00 90.00
Fractional positions:
Sc: 0.0000 0.2878 0.6020
As: 0.5000 0.7701 0.6337
Cl: 0.0000 0.1263 0.9306
Cl: 0.5000 0.3158 0.3337

Values from the calculation:
Formation energy from raw total energies: -1158 meV/atom
N(E_F): 0.30 states/eV per cell
ΔE to the lowest computed polymorph: 0 meV/atom

---

Entry 10:
Entry from the Alexandria database: a relaxed structure of SmHoPtRh (GGA-PBE).

abc: 4.9363 4.9363 4.9363
angles: 60.00 60.00 60.00
Fractional positions:
Rh: 0.2500 0.2500 0.2500
Sm: 0.5000 0.5000 0.5000
Ho: 0.0000 0.0000 0.0000
Pt: 0.7500 0.7500 0.7500

Values from the calculation:
N(E_F): 1.76 states/eV per cell
E_form: -0.99 eV per atom
ΔE to the lowest computed polymorph: 35 meV/atom

---

Entry 11:
Entry from the Alexandria database: a relaxed structure of CsLaSe2 (GGA-PBE).

abc: 8.3149 8.3149 7.9112
angles: 58.30 58.30 90.00
Fractional positions:
Cs: 0.5000 0.5000 0.0000
Cs: 0.2500 0.7500 0.5000
Se: 0.6976 0.1250 0.2500
Se: 0.0524 0.6250 0.2500
Se: 0.3750 0.3024 0.7500
Se: 0.8750 0.9476 0.7500
La: 0.0000 0.0000 0.0000
La: 0.7500 0.2500 0.5000

Values from the calculation:
Formation energy from raw total energies: -1608 meV/atom
N(E_F): 0.00 states/eV per cell

---

Entry 12:
Entry from the Alexandria database: a relaxed structure of LaCN (GGA-PBE).

abc: 3.8685 3.8685 4.1976
angles: 117.44 117.44 90.00
Fractional positions:
C: 0.5491 0.5491 0.0982
N: 0.3505 0.3505 0.7010
La: 0.9504 0.9504 0.9008

Values from the calculation:
Formation energy from raw total energies: -624 meV/atom
N(E_F): 1.87 states/eV per cell

---

Entry 13:
Entry from the Alexandria database: a relaxed structure of HoPuMnOs (GGA-PBE).

abc: 4.8130 4.8130 4.8130
angles: 60.00 60.00 60.00
Fractional positions:
Mn: 0.0000 0.0000 0.0000
Os: 0.5000 0.5000 0.5000
Ho: 0.2500 0.2500 0.2500
Pu: 0.7500 0.7500 0.7500

Values from the calculation:
N(E_F): 4.87 states/eV per cell
E_form: -0.04 eV per atom

---

Entry 14:
Entry from the Alexandria database: a relaxed structure of CaV2Si (GGA-PBE).

abc: 4.2923 4.2923 9.6562
angles: 77.16 77.16 90.00
Fractional positions:
Ca: 0.0000 0.0000 0.0000
Ca: 0.7500 0.2500 0.5000
Si: 0.5000 0.5000 0.0000
Si: 0.2500 0.7500 0.5000
V: 0.3750 0.1250 0.2500
V: 0.3750 0.6250 0.2500
V: 0.3750 0.6250 0.7500
V: 0.8750 0.6250 0.7500

Values from the calculation:
Formation energy from raw total energies: 388 meV/atom
N(E_F): 4.11 states/eV per cell